<a>
A PBEsol-optimized structure of KMoW2. Source: the Alexandria database, functional meta-GGA SCAN.

abc: 2.6580 5.0876 5.2287
angles: 90.00 90.00 90.00
Space group Pmmm (No. 47)
Symmetry-distinct sites (fractional):
K  0.0000  0.0000  0.0000 x1
Mo  0.5000  0.5000  0.0000 x1
W  0.0000  0.5000  0.5000 x1
W  0.5000  0.0000  0.5000 x1

## Properties
For the density of states at the Fermi level, the calculation gives 0.87 states/eV per atom. The total magnetic moment comes out at 0.000 μB per formula unit.

---

<b>
A PBEsol-optimized structure of KMoW2. Source: the Alexandria database, functional meta-GGA SCAN.

abc: 3.0753 3.8189 7.9843
angles: 90.00 90.00 90.00
Space group Pmm2 (No. 25)
Symmetry-distinct sites (fractional):
K  0.0000  0.0000  0.0000 x1
Mo  0.5000  0.5000  0.3561 x1
W  0.0000  0.0000  0.5012 x1
W  0.5000  0.5000  0.6442 x1

## Properties
For the density of states at the Fermi level, the calculation gives 0.76 states/eV per atom. The total magnetic moment comes out at 0.000 μB per formula unit.

---

<b> takes first place; second place is 826 meV/atom up.